VASP calculation (PBE-GGA) on a relaxed structure of NaSrCr3.

Summary:
Formation enthalpy at 0 K in eV per atom: 1.49
Total energy in eV for the cell shown: -24.4
SG: Pm-3m (221)

abc: 5.2512 5.2512 5.2512
angles: 90.00 90.00 90.00
With the nearest neighbours (Å) after each atom.
Positions (direct):
Sr1 0.5000 0.5000 0.5000  12 Cr 3.71
Na1 0.0000 0.0000 0.0000  6 Cr 2.63
Cr1 0.0000 0.5000 0.0000  2 Na 2.63
Cr2 0.0000 0.0000 0.5000  2 Na 2.63
Cr3 0.5000 0.0000 0.0000  2 Na 2.63